# 1
# TmInPt

A geometry-optimized TmInPt structure (PBE, Alexandria).

The structure in POSCAR format:
```
TmInPt
1.0
3.382 0.000 0.000
0.000 3.382 0.000
-1.691 -1.691 5.662
Pt In Tm
1 1 1
Direct
0.952 0.952 0.903
0.301 0.301 0.602
0.597 0.597 0.194
```

Results
energy = -5.19 eV/atom
density of states at the Fermi level = 1.5 states/eV per cell
formation energy = -0.773 eV per atom



# 2
# TmInPt

A geometry-optimized TmInPt structure (PBE, Alexandria).

The structure in POSCAR format:
```
TmInPt
1.0
7.670 0.000 0.000
-3.835 6.643 0.000
0.000 0.000 3.781
Tm In Pt
3 3 3
Direct
0.000 0.597 0.500
0.403 0.403 0.500
0.597 0.000 0.500
0.736 0.736 0.000
0.000 0.264 0.000
0.264 0.000 0.000
0.000 0.000 0.500
0.667 0.333 0.000
0.333 0.667 0.000
```

Results
energy = -5.42 eV/atom
density of states at the Fermi level = 7.3 states/eV per cell
formation energy = -1.004 eV per atom



# 3
# Tm2In8Pt

A geometry-optimized Tm2In8Pt structure (PBE, Alexandria).

The structure in POSCAR format:
```
Tm2In8Pt
1.0
4.680 0.000 0.000
0.000 4.680 0.000
0.000 0.000 12.037
In Pt Tm
8 1 2
Direct
0.500 0.500 0.691
0.500 0.000 0.872
0.500 0.000 0.500
0.000 0.500 0.128
0.000 0.500 0.500
0.500 0.000 0.128
0.500 0.500 0.309
0.000 0.500 0.872
0.000 0.000 0.000
0.000 0.000 0.310
0.000 0.000 0.690
```

Results
energy = -3.73 eV/atom
density of states at the Fermi level = 7.9 states/eV per cell
formation energy = -0.376 eV per atom



# 4
# Tm5In2Pt2

A geometry-optimized Tm5In2Pt2 structure (PBE, Alexandria).

The structure in POSCAR format:
```
Tm5In2Pt2
1.0
-6.973 1.368 1.380
-2.152 -6.405 -4.527
1.428 -1.389 8.593
Tm In Pt
10 4 4
Direct
0.662 0.059 0.762
0.000 0.000 0.000
0.662 0.297 0.238
0.838 0.559 0.762
0.338 0.703 0.762
0.162 0.203 0.762
0.338 0.941 0.238
0.838 0.797 0.238
0.162 0.441 0.238
0.500 0.500 0.000
0.500 0.716 0.433
0.000 0.784 0.567
0.500 0.284 0.567
0.000 0.216 0.433
0.134 0.631 0.000
0.866 0.369 0.000
0.366 0.131 0.000
0.634 0.869 0.000
```

Results
energy = -5.21 eV/atom
density of states at the Fermi level = 17.4 states/eV per cell
formation energy = -0.776 eV per atom



# 5
# UInPt4

A geometry-optimized UInPt4 structure (PBE, Alexandria).

The structure in POSCAR format:
```
UInPt4
1.0
-1.586 -1.491 3.535
5.238 -0.625 2.086
0.421 9.744 1.862
Pt U In
8 2 2
Direct
0.849 0.993 0.699
0.151 0.493 0.301
0.849 0.507 0.699
0.000 0.500 0.000
0.429 0.750 0.859
0.000 0.000 0.000
0.151 0.007 0.301
0.571 0.250 0.141
0.417 0.250 0.833
0.583 0.750 0.167
0.729 0.250 0.459
0.271 0.750 0.541
```

Results
energy relative to the lowest polymorph listed for this composition = 0.0 meV per atom
energy = -7.00 eV/atom
density of states at the Fermi level = 15.2 states/eV per cell
formation energy = -0.636 eV per atom



# 6
# UIn2Pt9

A geometry-optimized UIn2Pt9 structure (PBE, Alexandria).

The structure in POSCAR format:
```
UIn2Pt9
1.0
4.101 0.000 0.000
0.000 4.101 0.000
0.000 0.000 12.144
Pt In U
9 2 1
Direct
0.000 0.500 0.165
0.500 0.500 0.000
0.500 0.500 0.666
0.500 0.000 0.835
0.000 0.500 0.500
0.500 0.000 0.165
0.500 0.500 0.334
0.000 0.500 0.835
0.500 0.000 0.500
0.000 0.000 0.339
0.000 0.000 0.661
0.000 0.000 0.000
```

Results
energy = -6.47 eV/atom
density of states at the Fermi level = 7.9 states/eV per cell
formation energy = -0.543 eV per atom



# 7
# UIn3Pt12

A geometry-optimized UIn3Pt12 structure (PBE, Alexandria).

The structure in POSCAR format:
```
UIn3Pt12
1.0
4.088 0.000 0.000
0.000 4.088 0.000
0.000 0.000 16.194
Pt U In
12 1 3
Direct
0.500 0.000 0.377
0.000 0.500 0.623
0.500 0.000 0.876
0.500 0.500 0.500
0.000 0.500 0.124
0.500 0.500 0.000
0.500 0.000 0.623
0.500 0.500 0.251
0.500 0.500 0.749
0.000 0.500 0.876
0.500 0.000 0.124
0.000 0.500 0.377
0.000 0.000 0.000
0.000 0.000 0.744
0.000 0.000 0.256
0.000 0.000 0.500
```

Results
energy = -6.25 eV/atom
density of states at the Fermi level = 14.2 states/eV per cell
formation energy = -0.500 eV per atom



# 8
# UInPt4

A geometry-optimized UInPt4 structure (PBE, Alexandria).

The structure in POSCAR format:
```
UInPt4
1.0
5.397 0.000 0.000
2.698 4.674 0.000
2.698 1.558 4.406
Pt In U
4 1 1
Direct
0.126 0.625 0.625
0.625 0.126 0.625
0.625 0.625 0.625
0.625 0.625 0.126
0.250 0.250 0.250
0.000 0.000 0.000
```

Results
energy relative to the lowest polymorph listed for this composition = 41.3 meV per atom
energy = -6.96 eV/atom
density of states at the Fermi level = 8.8 states/eV per cell
formation energy = -0.595 eV per atom